No. 1
Crystalline Li2CaLaBi at its relaxed geometry. Source: Alexandria, functional PBE.

The structure in CIF format:
```
data_Li2CaLaBi
_cell_length_a 5.385
_cell_length_b 5.385
_cell_length_c 6.031
_cell_angle_alpha 90.00
_cell_angle_beta 90.00
_cell_angle_gamma 90.00
_space_group_name_H-M_alt 'P 4/m m m'
_space_group_IT_number 123
_space_group_name_Hall '-P 4 2'
loop_
_atom_site_label
_atom_site_type_symbol
_atom_site_fract_x
_atom_site_fract_y
_atom_site_fract_z
Li1 Li 0.000 0.500 0.000
Ca1 Ca 0.000 0.000 0.500
La1 La 0.000 0.000 0.000
Bi1 Bi 0.500 0.500 0.500
```

Values from the calculation:
The formation energy is 0.842 eV/atom.


No. 2
Crystalline Li2Ca2LaBi2 at its relaxed geometry. Source: Alexandria, functional PBE.

The structure in CIF format:
```
data_Li2Ca2LaBi2
_cell_length_a 4.9001
_cell_length_b 4.9001
_cell_length_c 28.4889
_cell_angle_alpha 90.00
_cell_angle_beta 90.00
_cell_angle_gamma 120.00
_space_group_name_H-M_alt 'R -3 m'
_space_group_IT_number 166
_space_group_name_Hall '-R 3 2"'
loop_
_atom_site_label
_atom_site_type_symbol
_atom_site_fract_x
_atom_site_fract_y
_atom_site_fract_z
Li1 Li 0.0000 0.0000 0.0835
Ca1 Ca 0.0000 0.0000 0.3672
La1 La 0.0000 0.0000 0.5000
Bi1 Bi 0.0000 0.0000 0.2378
```

Values from the calculation:
The formation energy is -0.575 eV/atom.